Below is crystalline Pm5HoIn3 at its relaxed geometry, with properties calculated at the PBE-GGA level.

Cell and atoms, written as extended XYZ:
```
18
Lattice="6.8652 0.0000 0.0000 0.0000 9.5296 0.0000 0.0000 -4.7648 8.2528" Properties=species:S:1:pos:R:3 pbc="T T T"
In 5.1489 1.5552 2.6936
In 5.1489 -3.2096 5.5592
In 5.1489 6.4193 0.0000
In 1.7163 3.1103 0.0000
In 1.7163 3.2096 5.5592
In 1.7163 7.9744 2.6936
Pm 1.7163 1.6061 2.7817
Pm 5.1489 7.9235 2.7817
Pm 5.1489 3.2122 0.0000
Pm 0.0000 4.7648 2.7510
Pm 0.0000 0.0000 5.5018
Pm 1.7163 -3.1587 5.4711
Pm 3.4326 4.7648 2.7510
Pm 1.7163 6.3174 0.0000
Pm 3.4326 0.0000 5.5018
Pm 5.1489 3.1587 5.4711
Ho 3.4326 0.0000 0.0000
Ho 0.0000 0.0000 0.0000
```

=====

Below is crystalline Pm2HoIn5 at its relaxed geometry, with properties calculated at the PBE-GGA level.

Cell and atoms, written as extended XYZ:
```
8
Lattice="6.0397 -0.1899 -2.6240 -3.3918 5.4873 -1.3360 -0.1174 0.1899 6.5840" Properties=species:S:1:pos:R:3 pbc="T T T"
In 2.5304 1.3690 -0.1305
In 0.1746 3.8359 2.4935
In -0.9636 1.5589 4.1957
In -2.3710 3.8359 0.7913
In -2.6743 4.3266 3.9995
Pm 2.1365 1.3341 3.2133
Pm 0.4993 3.9828 -0.7468
Ho -0.5099 0.8250 0.7626
```

=====

Below is crystalline Pm4Ho9In11 at its relaxed geometry, with properties calculated at the PBE-GGA level.

Cell and atoms, written as extended XYZ:
```
24
Lattice="3.4823 0.0000 0.0000 0.0000 13.1413 -5.3633 0.0000 0.2325 14.1917" Properties=species:S:1:pos:R:3 pbc="T T T"
In 0.0000 8.2512 2.0446
In 0.0000 5.3830 -1.6425
In 0.0000 12.7688 3.2331
In 0.0000 2.6429 1.7447
In 0.0000 5.1227 6.7838
In 0.0000 10.7309 7.0838
In 0.0000 7.9909 10.4709
In 0.0000 0.0000 0.0000
In 0.0000 0.6051 5.5953
In 0.0000 2.6796 10.4847
In 0.0000 10.6942 -1.6563
Pm 1.7411 3.2907 4.4551
Pm 1.7411 5.3899 1.2752
Pm 1.7411 10.0831 4.3734
Pm 1.7411 7.9840 7.5532
Ho 1.7411 8.0678 -0.9116
Ho 1.7411 5.3061 9.7400
Ho 1.7411 13.2161 5.9903
Ho 1.7411 2.6718 -0.9703
Ho 1.7411 0.1578 2.8381
Ho 1.7411 6.6869 4.4142
Ho 1.7411 2.3322 7.7769
Ho 1.7411 11.0416 1.0515
Ho 1.7411 10.7021 9.7987
```

=====

Below is crystalline Pm3Ho2In3 at its relaxed geometry, with properties calculated at the PBE-GGA level.

Cell and atoms, written as extended XYZ:
```
8
Lattice="-3.6753 0.9535 0.3922 -0.5336 -3.6854 3.9598 4.9523 9.1899 5.4896" Properties=species:S:1:pos:R:3 pbc="T T T"
Pm 2.1396 5.8782 5.7593
Pm -1.3962 0.5797 4.0823
Pm -1.8376 0.4768 0.1961
In 0.0500 4.5529 7.9751
In 0.6934 1.9051 1.8665
In -0.2668 -1.8427 1.9799
Ho -0.5002 4.1512 3.7962
Ho 1.2436 2.3067 6.0454
```

=====

Below is crystalline Pm3Ho5In at its relaxed geometry, with properties calculated at the PBE-GGA level.

Cell and atoms, written as extended XYZ:
```
18
Lattice="-7.0592 2.8545 5.2207 -5.9136 -4.2613 -5.6663 6.9750 -4.9988 4.0012" Properties=species:S:1:pos:R:3 pbc="T T T"
In -2.7125 -4.9817 -0.9439
In -3.2853 -1.4238 4.4995
Pm -6.2422 -3.5545 1.6664
Pm 0.2443 -2.8511 1.8892
Pm -3.0893 -1.3079 -1.5743
Pm -5.0297 1.2646 2.5588
Pm -7.9432 -2.6714 -3.0044
Pm -9.8836 -0.0989 1.1287
Ho -5.3239 -3.9412 -1.8988
Ho -3.1770 -1.4830 1.5333
Ho 1.3873 -5.8608 0.0621
Ho -2.8209 -4.9225 2.0223
Ho -7.3852 -0.5447 3.4935
Ho -0.6740 -2.4643 5.4544
Ho 0.0000 0.0000 0.0000
Ho 3.5341 -3.4027 3.4942
Ho -9.5320 -3.0029 0.0614
Ho -6.4864 -0.7034 -0.2228
```

=====

Below is crystalline Pm3Ho4In2 at its relaxed geometry, with properties calculated at the PBE-GGA level.

Cell and atoms, written as extended XYZ:
```
9
Lattice="-3.4596 3.1410 -1.6461 -3.6454 -0.4989 6.7095 6.7285 4.1136 1.1636" Properties=species:S:1:pos:R:3 pbc="T T T"
Pm -1.3080 0.9703 4.6005
Pm 0.9315 5.7854 1.6265
Pm 0.0000 0.0000 0.0000
Ho -1.4356 4.4020 3.9616
Ho 1.9763 4.6921 4.7995
Ho 1.0591 2.3537 2.2654
Ho -2.3529 2.0637 1.4275
In 3.3967 3.8630 0.2324
In -3.7732 2.8928 5.9946
```

=====

In eV/atom, the energy of formation values for the records above are, in order, -0.348, -0.449, -0.395, -0.369, 0.174, -0.167.
In eV/cell, the raw total energy values for the records above are, in order, -79.35, -31.36, -99.82, -34.57, -76.63, -39.54.